[1]
ScTeIr2 SCAN PBEsol geometry; energy relative to the elements, uncorrected = -0.162 eV per atom; DOS at the Fermi energy = 2.4 states/eV per cell; electronic total energy = -48.584 eV per atom; space group = C2/m, No. 12
1.0
2.9600 0.0007 0.0000
-0.0832 4.8746 0.0000
-1.4384 -2.4376 4.7232
Sc Ir Te
1 2 1
Direct
0.0000 0.5000 0.0000 Sc
0.0000 0.0000 0.5000 Ir
0.5000 0.5000 0.5000 Ir
0.5000 0.0000 0.0000 Te

[2]
Sc2TeIr SCAN PBEsol geometry; energy relative to the elements, uncorrected = 0.141 eV per atom; DOS at the Fermi energy = 2.9 states/eV per cell; electronic total energy = -34.065 eV per atom; space group = R-3m, No. 166
1.0
-2.5123 0.2286 -2.3580
-1.9779 -2.7458 -0.6873
-7.1452 1.6626 5.2454
Sc Ir Te
2 1 1
Direct
0.9101 0.9101 0.2697 Sc
0.0899 0.0899 0.7303 Sc
0.0000 0.0000 0.0000 Ir
0.5000 0.5000 0.5000 Te

[3]
Sc6Te2Ir SCAN PBEsol geometry; energy relative to the elements, uncorrected = -0.939 eV per atom; DOS at the Fermi energy = 9.2 states/eV per cell; electronic total energy = -26.608 eV per atom; space group = P-62m, No. 189
1.0
3.7631 0.0000 0.0000
0.0000 7.6716 0.0000
0.0000 -3.8358 6.6438
Sc Te Ir
6 2 1
Direct
0.0000 0.2430 0.0000 Sc
0.0000 0.0000 0.2430 Sc
0.0000 0.7570 0.7570 Sc
0.5000 0.3890 0.3890 Sc
0.5000 0.6110 0.0000 Sc
0.5000 0.0000 0.6110 Sc
0.0000 0.3333 0.6667 Te
0.0000 0.6667 0.3333 Te
0.5000 0.0000 0.0000 Ir

[4]
Sc3TeIr SCAN PBEsol geometry; energy relative to the elements, uncorrected = 0.575 eV per atom; DOS at the Fermi energy = 8.8 states/eV per cell; electronic total energy = -29.637 eV per atom; space group = Pm-3m, No. 221
1.0
5.0728 0.0000 0.0000
0.0000 5.0728 0.0000
0.0000 0.0000 5.0728
Sc Ir Te
3 1 1
Direct
0.0000 0.5000 0.0000 Sc
0.5000 0.0000 0.0000 Sc
0.0000 0.0000 0.5000 Sc
0.5000 0.5000 0.5000 Ir
0.0000 0.0000 0.0000 Te

[5]
ScTl3Ir SCAN PBEsol geometry; DOS at the Fermi energy = 5.3 states/eV per cell; electronic total energy = -60.044 eV per atom; space group = Pm-3m, No. 221; DFT formation energy = 0.4379 eV/atom
1.0
-1.4161 4.7492 -1.4027
-1.9583 0.8029 4.6956
4.5484 1.8244 1.5850
Tl Ir Sc
3 1 1
Direct
0.0000 0.0000 0.5000 Tl
0.5000 0.0000 0.0000 Tl
0.0000 0.5000 0.0000 Tl
0.0000 0.0000 0.0000 Ir
0.5000 0.5000 0.5000 Sc

[6]
ScIrW2 SCAN PBEsol geometry; DOS at the Fermi energy = 2.9 states/eV per cell; electronic total energy = -56.197 eV per atom; space group = Cm, No. 8; DFT formation energy = -0.0188 eV/atom
1.0
-0.4342 1.9857 1.9071
-4.9644 -0.1003 -1.0257
1.4544 -4.1884 2.6553
W Ir Sc
2 1 1
Direct
0.0134 0.0674 0.0269 W
0.7750 0.1782 0.5499 W
0.4841 0.5901 0.9682 Ir
0.2275 0.6643 0.4550 Sc